No. 1
Compound: Tl3Cu2SnBr8
Source: Alexandria via LeMat-Bulk
Functional: PBE
Structure: relaxed

```
14
Lattice="7.756 0.000 0.000 -3.878 6.717 0.000 0.000 0.000 9.388" Properties=species:S:1:pos:R:3 pbc="T T T"
Br 0.000 2.279 2.951
Br 1.974 1.140 6.437
Br 5.782 1.140 6.437
Br 3.878 4.438 6.437
Br 3.878 2.239 0.510
Br 1.904 5.578 2.951
Br 0.000 4.478 8.878
Br -1.904 5.578 2.951
Tl 0.000 0.000 0.000
Tl 0.000 4.478 5.810
Tl 3.878 2.239 3.578
Cu 0.000 4.478 1.809
Cu 3.878 2.239 7.579
Sn 0.000 0.000 4.694
```

## Properties
Formation energy from raw total energies   -0.601 eV/atom
Calculated density   5.1 g/cm3
Raw total energy   -2.9356 eV per atom
Total moment   0.00 Bohr magnetons per cell
Density of states at the Fermi level   4.486 states/eV/cell

No. 2
Compound: ZnCuSnBr2
Source: Alexandria via LeMat-Bulk
Functional: PBE
Structure: relaxed

```
5
Lattice="-2.345 -5.167 1.104 0.886 -1.412 -4.727 5.184 -2.017 1.574" Properties=species:S:1:pos:R:3 pbc="T T T"
Zn 1.862 -4.298 -1.024
Br -1.173 -2.583 0.552
Br 2.592 -1.008 0.787
Cu 0.443 -0.706 -2.364
Sn 0.000 0.000 0.000
```

## Properties
Formation energy from raw total energies   0.151 eV/atom
Calculated density   4.0 g/cm3
Raw total energy   -2.3923 eV per atom
Total moment   0.00 Bohr magnetons per cell
Density of states at the Fermi level   4.777 states/eV/cell

No. 3
Compound: SrCu3Br
Source: Alexandria via LeMat-Bulk
Functional: PBE
Structure: relaxed

```
5
Lattice="4.942 0.000 0.000 0.000 4.942 0.000 0.000 0.000 4.942" Properties=species:S:1:pos:R:3 pbc="T T T"
Cu 0.000 0.000 2.471
Cu 0.000 2.471 0.000
Cu 2.471 0.000 0.000
Br 0.000 0.000 0.000
Sr 2.471 2.471 2.471
```

## Properties
Formation energy from raw total energies   0.576 eV/atom
Calculated density   4.9 g/cm3
Raw total energy   -2.5528 eV per atom
Total moment   0.00 Bohr magnetons per cell
Density of states at the Fermi level   3.559 states/eV/cell

No. 4
Compound: SrCuBr2
Source: Alexandria via LeMat-Bulk
Functional: PBE
Structure: relaxed

```
4
Lattice="-1.616 -2.464 2.854 3.477 -0.571 1.475 -0.995 5.606 4.277" Properties=species:S:1:pos:R:3 pbc="T T T"
Cu -0.187 0.026 2.865
Br -0.104 5.394 4.598
Br 0.350 2.729 2.555
Sr 1.054 2.544 5.741
```

## Properties
Formation energy from raw total energies   -0.757 eV/atom
Calculated density   4.6 g/cm3
Raw total energy   -3.0381 eV per atom
Total moment   0.00 Bohr magnetons per cell
Density of states at the Fermi level   1.943 states/eV/cell

No. 5
Compound: SrCuBr2
Source: Alexandria via LeMat-Bulk
Functional: PBE
Structure: relaxed

```
4
Lattice="0.000 3.760 3.760 3.760 0.000 3.760 3.760 3.760 0.000" Properties=species:S:1:pos:R:3 pbc="T T T"
Cu 0.000 0.000 0.000
Br 5.640 5.640 5.640
Br 1.880 1.880 1.880
Sr 3.760 3.760 3.760
```

## Properties
Formation energy from raw total energies   -0.841 eV/atom
Calculated density   4.9 g/cm3
Raw total energy   -3.1218 eV per atom
Total moment   0.78 Bohr magnetons per cell
Density of states at the Fermi level   2.266 states/eV/cell

No. 6
Compound: Sr4CuBr
Source: Alexandria via LeMat-Bulk
Functional: PBE
Structure: relaxed

```
6
Lattice="-4.140 -0.661 6.213 -5.575 -5.002 0.274 0.648 -6.102 4.303" Properties=species:S:1:pos:R:3 pbc="T T T"
Cu 0.000 0.000 0.000
Br -6.800 -8.823 8.093
Sr -6.195 -6.917 4.178
Sr -3.070 -7.469 6.202
Sr -3.395 -4.405 4.041
Sr -5.474 -4.737 7.160
```

## Properties
Formation energy from raw total energies   0.346 eV/atom
Calculated density   2.8 g/cm3
Raw total energy   -1.7370 eV per atom
Total moment   0.03 Bohr magnetons per cell
Density of states at the Fermi level   8.908 states/eV/cell

Repeat the second record exactly.
Compound: ZnCuSnBr2
Source: Alexandria via LeMat-Bulk
Functional: PBE
Structure: relaxed

```
5
Lattice="-2.345 -5.167 1.104 0.886 -1.412 -4.727 5.184 -2.017 1.574" Properties=species:S:1:pos:R:3 pbc="T T T"
Zn 1.862 -4.298 -1.024
Br -1.173 -2.583 0.552
Br 2.592 -1.008 0.787
Cu 0.443 -0.706 -2.364
Sn 0.000 0.000 0.000
```

## Properties
Formation energy from raw total energies   0.151 eV/atom
Calculated density   4.0 g/cm3
Raw total energy   -2.3923 eV per atom
Total moment   0.00 Bohr magnetons per cell
Density of states at the Fermi level   4.777 states/eV/cell